BaLa2Co | PBE | optimized geometry

Structure (POSCAR):
```
BaLa2Co
1.0
2.077 1.199 10.062
-2.077 1.199 10.062
0.000 -2.398 10.062
Ba La Co
1 2 1
direct
0.000 0.000 0.000
0.214 0.214 0.214
0.786 0.786 0.786
0.500 0.500 0.500
```

Calculated values
ΔH_f (0 K): -52 meV per atom
DOS(E_F): 4.833 states/eV/cell
Crystal system: trigonal
Uncorrected energy: -19.1 eV per cell
Calculated density: 5.24 g cm⁻³
SG: R-3m
Spin magnetization: 0.00 Bohr magnetons per cell